A plane-wave DFT calculation with PBE was carried out for crystalline MgSiTc2 at its relaxed geometry.

Results
The value obtained for the total energy is -6.96 eV/atom. As for the density of states at the Fermi level: 4.26 states/eV/cell. Its space group is No. 71.

```
MgSiTc2
1.0
5.0514 0.0001 0.0081
4.1123 2.9336 0.0081
2.0762 0.6647 4.0389
Tc Mg Si
2 1 1
direct
0.9713 0.9713 0.0294
0.5287 0.5287 0.4706
0.7500 0.7500 0.7500
0.2500 0.2500 0.2500
```

A plane-wave DFT calculation with PBE was carried out for crystalline K3RbMo at its relaxed geometry.

Results
As for the density of states at the Fermi level: 5.19 states/eV/cell. Its space group is No. 221. The formation energy comes out at 1382 meV per atom.

```
K3RbMo
1.0
-5.3373 -0.9483 5.0191
-1.9626 -6.3213 -3.2814
4.7158 -3.7041 4.3149
Mo K Rb
1 3 1
direct
0.5000 0.5000 0.5000
0.5000 0.0000 0.0000
0.0000 0.0000 0.5000
0.0000 0.5000 0.0000
0.0000 0.0000 0.0000
```

A plane-wave DFT calculation with PBE was carried out for crystalline Cs2LiWI6 at its relaxed geometry.

Results
The value obtained for the total energy is -3.38 eV/atom. As for the density of states at the Fermi level: 0.00 states/eV/cell. Its space group is No. 139.

```
Cs2LiWI6
1.0
-1.2506 -6.0153 -5.5981
3.9673 -5.4009 4.9171
-3.7226 -7.0723 2.2605
W I Li Cs
1 6 1 2
direct
0.0000 0.0000 0.0000
0.7597 0.7597 0.4806
0.7600 0.2400 0.0000
0.2403 0.2403 0.5194
0.2400 0.2400 0.0000
0.7600 0.7600 0.0000
0.2400 0.7600 0.0000
0.5000 0.5000 0.0000
0.2500 0.7500 0.5000
0.7500 0.2500 0.5000
```